No. 1
# TbUAs2, optimized geometry, DFT PBE-GGA
data_TbUAs2
_chemical_formula_sum 'Tb3 U3 As6'
_cell_length_a 4.0775
_cell_length_b 4.0775
_cell_length_c 20.4455
_cell_angle_alpha 90.00
_cell_angle_beta 90.00
_cell_angle_gamma 120.00
_symmetry_space_group_name_H-M 'R -3 m'
_symmetry_Int_Tables_number 166
_symmetry_space_group_name_Hall '-R 3 2"'
loop_
_atom_site_label
_atom_site_fract_x
_atom_site_fract_y
_atom_site_fract_z
Tb1 0.0000 0.0000 0.0000
U1 0.0000 0.0000 0.5000
As1 0.0000 0.0000 0.2490
# polymorph energy (0 for the lowest one): 0.000 eV/atom
# volume: 24.532 Å³ per atom
# raw total energy: -7.44 eV per atom

***

No. 2
# TbUAs2, optimized geometry, DFT PBE-GGA
data_TbUAs2
_chemical_formula_sum 'Tb3 U3 As6'
_cell_length_a 4.0389
_cell_length_b 4.0389
_cell_length_c 21.2941
_cell_angle_alpha 90.00
_cell_angle_beta 90.00
_cell_angle_gamma 120.00
_symmetry_space_group_name_H-M 'R 3 m'
_symmetry_Int_Tables_number 160
_symmetry_space_group_name_Hall 'R 3 -2"'
loop_
_atom_site_label
_atom_site_fract_x
_atom_site_fract_y
_atom_site_fract_z
Tb1 0.0000 0.0000 0.0000
U1 0.0000 0.0000 0.1725
As1 0.0000 0.0000 0.5847
As2 0.0000 0.0000 0.7556
# polymorph energy (0 for the lowest one): 0.159 eV/atom
# volume: 25.069 Å³ per atom
# raw total energy: -7.29 eV per atom

***

| no. | magnetization (μB per formula unit) |
| --- | --- |
| 1 | 2.45 |
| 2 | 2.64 |